# 1
A plane-wave DFT calculation with PBE was carried out for a relaxed NaNbAuO2 crystal.

**Calculated density**: 7.142 Mg/m³
**Electronic total energy**: -19.4 eV per formula unit
**Raw formation energy**: 1044 meV per atom
**Magnetization**: 0.002 μB per formula unit

The structure in CIF format:
```
data_NaNbAuO2
_cell_length_a 4.018
_cell_length_b 4.018
_cell_length_c 4.967
_cell_angle_alpha 90.00
_cell_angle_beta 90.00
_cell_angle_gamma 90.00
_space_group_name_H-M_alt 'P 4/m m m'
_space_group_IT_number 123
_space_group_name_Hall '-P 4 2'
loop_
_atom_site_label
_atom_site_fract_x
_atom_site_fract_y
_atom_site_fract_z
Na1 0.000 0.000 0.000
Nb1 0.000 0.000 0.500
Au1 0.500 0.500 0.500
O1 0.000 0.500 0.000
```

# 2
A plane-wave DFT calculation with PBE was carried out for a relaxed LiPaZnSb crystal.

**Calculated density**: 7.974 Mg/m³
**Electronic total energy**: -17.4 eV per formula unit
**Raw formation energy**: -138 meV per atom
**Magnetization**: 0.691 μB per formula unit

The structure in CIF format:
```
data_LiPaZnSb
_cell_length_a 7.075
_cell_length_b 7.075
_cell_length_c 7.075
_cell_angle_alpha 90.00
_cell_angle_beta 90.00
_cell_angle_gamma 90.00
_space_group_name_H-M_alt 'F -4 3 m'
_space_group_IT_number 216
_space_group_name_Hall 'F -4 2 3'
loop_
_atom_site_label
_atom_site_fract_x
_atom_site_fract_y
_atom_site_fract_z
Li1 0.000 0.000 0.000
Pa1 0.000 0.000 0.500
Zn1 0.250 0.250 0.750
Sb1 0.250 0.250 0.250
```